Entry from the Alexandria database: crystalline LiCe2Lu at its relaxed geometry (GGA-PBE).

Properties
volume: 27.22 Å³ per atom
energy relative to the elements: 0.19 eV/atom

Cell: 3.2490 3.2490 10.3141 Å, 90.00 90.00 90.00°
Space group P4/mmm (No. 123)
Unique sites:
Li 0.0000 0.0000 0.0000 (multiplicity 1)
Ce 0.5000 0.5000 0.2442 (multiplicity 2)
Lu 0.0000 0.0000 0.5000 (multiplicity 1)